Cs2UBiO6 (GGA-PBE, optimized geometry); size of the total moment = 0.00 μB/f.u.; total DFT energy (no corrections) = -6.750 eV/atom; space group = P4/mmm
1.0
4.4284 0.0000 0.0000
0.0000 6.3022 0.0000
0.0000 0.0000 6.3022
O U Cs Bi
6 1 2 1
Direct
0.6447 0.7683 0.2317 O
0.6447 0.2317 0.2317 O
0.6447 0.2317 0.7683 O
0.1448 0.5000 0.5000 O
0.1446 0.0000 0.0000 O
0.6447 0.7683 0.7683 O
0.6447 0.0000 0.0000 U
0.1447 0.5000 0.0000 Cs
0.1447 0.0000 0.5000 Cs
0.6447 0.5000 0.5000 Bi